1) An optimized crystal structure of Tb4AgRh2, computed with PBE.

Lattice parameters (Å, degrees): 4.9337 4.9337 6.9335 90.00 90.00 90.00
Atoms (fractional coordinates):
Ag (0.5000, 0.5000, 0.0000)
Tb (0.0000, 0.5000, 0.7454)
Tb (0.5000, 0.0000, 0.2546)
Rh (0.0000, 0.0000, 0.0000)
Rh (0.5000, 0.5000, 0.5000)
Tb (0.0000, 0.5000, 0.2546)
Tb (0.5000, 0.0000, 0.7454)

Crystal system = tetragonal
DOS(E_F) = 5.787 states/eV/cell



2) An optimized crystal structure of Tb4AgRh2, computed with PBE.

Lattice parameters (Å, degrees): 7.4444 7.4433 7.7744 108.91 108.92 108.82
Atoms (fractional coordinates):
Rh (0.4963, 0.3822, 0.6303)
Tb (0.3772, 0.5054, 0.2301)
Rh (0.6319, 0.2468, 0.1309)
Tb (0.4959, 0.7574, 0.8969)
Tb (0.7554, 0.1271, 0.7300)
Tb (0.3973, 0.0253, 0.2701)
Tb (0.8492, 0.6108, 0.6033)
Tb (0.0071, 0.2457, 0.3966)
Tb (0.2755, 0.1475, 0.7700)
Ag (0.9931, 0.9929, 0.0001)
Rh (0.1157, 0.5011, 0.8691)
Rh (0.7516, 0.8656, 0.3695)
Ag (0.2430, 0.7431, 0.5001)
Tb (0.8608, 0.5990, 0.1031)

Crystal system = orthorhombic
DOS(E_F) = 9.509 states/eV/cell



Most stable = 2)



1) An optimized crystal structure of TbTmAgRh, computed with PBE.

Lattice parameters (Å, degrees): 3.4878 3.4878 7.1683 90.00 90.00 90.00
Atoms (fractional coordinates):
Rh (0.5000, 0.5000, 0.5998)
Ag (0.5000, 0.5000, 0.1156)
Tb (0.0000, 0.0000, 0.8352)
Tm (0.0000, 0.0000, 0.3773)

Crystal system = tetragonal
DOS(E_F) = 4.650 states/eV/cell



2) An optimized crystal structure of TbTmAgRh, computed with PBE.

Lattice parameters (Å, degrees): 4.9658 4.9658 4.9658 60.00 60.00 60.00
Atoms (fractional coordinates):
Tb (0.0000, 0.0000, 0.0000)
Ag (0.2500, 0.2500, 0.2500)
Rh (0.7500, 0.7500, 0.7500)
Tm (0.5000, 0.5000, 0.5000)

Crystal system = cubic
DOS(E_F) = 3.620 states/eV/cell



Most stable = 1)



1) An optimized crystal structure of Tc2AgRh, computed with PBE.

Lattice parameters (Å, degrees): 2.7664 2.7664 7.9753 90.00 90.00 90.00
Atoms (fractional coordinates):
Rh (0.5000, 0.5000, 0.7685)
Ag (0.0000, 0.0000, 0.5017)
Tc (0.5000, 0.5000, 0.2283)
Tc (0.0000, 0.0000, 0.0016)

Crystal system = tetragonal
DOS(E_F) = 4.636 states/eV/cell



2) An optimized crystal structure of Tc2AgRh, computed with PBE.

Lattice parameters (Å, degrees): 2.7035 2.7035 9.4346 90.00 90.00 116.33
Atoms (fractional coordinates):
Tc (0.0000, 0.0000, 0.0020)
Tc (0.5000, 0.5000, 0.2332)
Ag (0.0000, 0.0000, 0.5016)
Rh (0.5000, 0.5000, 0.7631)

Crystal system = orthorhombic
DOS(E_F) = 3.768 states/eV/cell



Most stable = 1)